[1]
# PBE MnTe2As, optimized geometry
data_MnTe2As
_chemical_formula_sum 'Mn1 Te2 As1'
_cell_length_a 3.0237
_cell_length_b 3.0237
_cell_length_c 10.5593
_cell_angle_alpha 90.00
_cell_angle_beta 90.00
_cell_angle_gamma 90.00
_space_group_name_H-M_alt 'P 4 m m'
_space_group_IT_number 99
loop_
_space_group_symop_operation_xyz
'x,y,z'
'-y,x,z'
'-x,-y,z'
'y,-x,z'
'-x,y,z'
'y,x,z'
'x,-y,z'
'-y,-x,z'
loop_
_atom_site_label
_atom_site_type_symbol
_atom_site_fract_x
_atom_site_fract_y
_atom_site_fract_z
_atom_site_occupancy
Mn1 Mn 0.0000 0.0000 0.0000 1
Te1 Te 0.0000 0.0000 0.5027 1
Te2 Te 0.5000 0.5000 0.1507 1
As1 As 0.5000 0.5000 0.8540 1
# DOS(E_F): 1.232 states/eV per cell
# Formation energy (no corrections): 0.62 eV/f.u.
# Raw total energy: -19.49 eV/cell

***

[2]
# PBE MnTe2As, optimized geometry
data_MnTe2As
_chemical_formula_sum 'Mn3 Te6 As3'
_cell_length_a 4.1806
_cell_length_b 4.1806
_cell_length_c 20.0024
_cell_angle_alpha 90.00
_cell_angle_beta 90.00
_cell_angle_gamma 120.00
_space_group_name_H-M_alt 'R -3 m'
_space_group_IT_number 166
_space_group_name_Hall '-R 3 2"'
loop_
_atom_site_label
_atom_site_type_symbol
_atom_site_fract_x
_atom_site_fract_y
_atom_site_fract_z
_atom_site_occupancy
Mn1 Mn 0.0000 0.0000 0.0000 1
Te1 Te 0.0000 0.0000 0.2543 1
As1 As 0.0000 0.0000 0.5000 1
# DOS(E_F): 9.088 states/eV per cell
# Formation energy (no corrections): 0.50 eV/f.u.
# Raw total energy: -58.80 eV/cell

***

[3]
# PBE MnTeAs2, optimized geometry
data_MnTeAs2
_chemical_formula_sum 'Mn4 Te4 As8'
_cell_length_a 6.8714
_cell_length_b 6.8714
_cell_length_c 6.8714
_cell_angle_alpha 90.00
_cell_angle_beta 90.00
_cell_angle_gamma 90.00
_space_group_name_H-M_alt 'F -4 3 m'
_space_group_IT_number 216
_space_group_name_Hall 'F -4 2 3'
loop_
_atom_site_label
_atom_site_type_symbol
_atom_site_fract_x
_atom_site_fract_y
_atom_site_fract_z
_atom_site_occupancy
Mn1 Mn 0.0000 0.0000 0.0000 1
Te1 Te 0.2500 0.2500 0.7500 1
As1 As 0.0000 0.0000 0.5000 1
As2 As 0.2500 0.2500 0.2500 1
# DOS(E_F): 18.926 states/eV per cell
# Formation energy (no corrections): 1.82 eV/f.u.
# Raw total energy: -79.15 eV/cell

***

[4]
# PBE MnTe2As, optimized geometry
data_MnTe2As
_chemical_formula_sum 'Mn4 Te8 As4'
_cell_length_a 7.1540
_cell_length_b 7.1540
_cell_length_c 7.1540
_cell_angle_alpha 90.00
_cell_angle_beta 90.00
_cell_angle_gamma 90.00
_space_group_name_H-M_alt 'F -4 3 m'
_space_group_IT_number 216
_space_group_name_Hall 'F -4 2 3'
loop_
_atom_site_label
_atom_site_type_symbol
_atom_site_fract_x
_atom_site_fract_y
_atom_site_fract_z
_atom_site_occupancy
Mn1 Mn 0.0000 0.0000 0.0000 1
Te1 Te 0.0000 0.0000 0.5000 1
Te2 Te 0.2500 0.2500 0.2500 1
As1 As 0.2500 0.2500 0.7500 1
# DOS(E_F): 14.722 states/eV per cell
# Formation energy (no corrections): 2.08 eV/f.u.
# Raw total energy: -72.10 eV/cell

***

[5]
# PBE MnTe2As, optimized geometry
data_MnTe2As
_chemical_formula_sum 'Mn2 Te4 As2'
_cell_length_a 6.0947
_cell_length_b 8.1872
_cell_length_c 4.0934
_cell_angle_alpha 90.00
_cell_angle_beta 90.00
_cell_angle_gamma 90.00
_space_group_name_H-M_alt 'C m m m'
_space_group_IT_number 65
_space_group_name_Hall '-C 2 2'
loop_
_atom_site_label
_atom_site_type_symbol
_atom_site_fract_x
_atom_site_fract_y
_atom_site_fract_z
_atom_site_occupancy
Mn1 Mn 0.0000 0.0000 0.0000 1
Te1 Te 0.0000 0.2422 0.5000 1
As1 As 0.0000 0.5000 0.0000 1
# DOS(E_F): 5.251 states/eV per cell
# Formation energy (no corrections): 0.77 eV/f.u.
# Raw total energy: -38.67 eV/cell

***

[6]
# PBE Mn2TeAs, optimized geometry
data_Mn2TeAs
_chemical_formula_sum 'Mn8 Te4 As4'
_cell_length_a 6.6946
_cell_length_b 6.6946
_cell_length_c 6.6946
_cell_angle_alpha 90.00
_cell_angle_beta 90.00
_cell_angle_gamma 90.00
_space_group_name_H-M_alt 'F -4 3 m'
_space_group_IT_number 216
_space_group_name_Hall 'F -4 2 3'
loop_
_atom_site_label
_atom_site_type_symbol
_atom_site_fract_x
_atom_site_fract_y
_atom_site_fract_z
_atom_site_occupancy
Mn1 Mn 0.0000 0.0000 0.0000 1
Mn2 Mn 0.2500 0.2500 0.2500 1
Te1 Te 0.0000 0.0000 0.5000 1
As1 As 0.2500 0.2500 0.7500 1
# DOS(E_F): 20.379 states/eV per cell
# Formation energy (no corrections): 2.28 eV/f.u.
# Raw total energy: -95.42 eV/cell

***

[7]
# PBE Mn2TeAs, optimized geometry
data_Mn2TeAs
_chemical_formula_sum 'Mn4 Te2 As2'
_cell_length_a 4.8302
_cell_length_b 5.1703
_cell_length_c 6.9096
_cell_angle_alpha 90.00
_cell_angle_beta 90.00
_cell_angle_gamma 90.00
_space_group_name_H-M_alt 'A m m 2'
_space_group_IT_number 38
loop_
_space_group_symop_operation_xyz
'x,y,z'
'-x,-y,z'
'-x,y,z'
'x,-y,z'
'x,y+1/2,z+1/2'
'-x,-y+1/2,z+1/2'
'-x,y+1/2,z+1/2'
'x,-y+1/2,z+1/2'
loop_
_atom_site_label
_atom_site_type_symbol
_atom_site_fract_x
_atom_site_fract_y
_atom_site_fract_z
_atom_site_occupancy
Mn1 Mn 0.0000 0.0000 0.0000 1
Mn2 Mn 0.5000 0.0000 0.2351 1
Te1 Te 0.0000 0.0000 0.3913 1
As1 As 0.5000 0.0000 0.8708 1
# DOS(E_F): 4.423 states/eV per cell
# Formation energy (no corrections): 0.27 eV/f.u.
# Raw total energy: -51.73 eV/cell

***

[8]
# PBE MnTe3As, optimized geometry
data_MnTe3As
_chemical_formula_sum 'Mn1 Te3 As1'
_cell_length_a 5.3842
_cell_length_b 5.3842
_cell_length_c 5.3842
_cell_angle_alpha 90.00
_cell_angle_beta 90.00
_cell_angle_gamma 90.00
_space_group_name_H-M_alt 'P m -3 m'
_space_group_IT_number 221
_space_group_name_Hall '-P 4 2 3'
loop_
_atom_site_label
_atom_site_type_symbol
_atom_site_fract_x
_atom_site_fract_y
_atom_site_fract_z
_atom_site_occupancy
Mn1 Mn 0.0000 0.0000 0.0000 1
Te1 Te 0.0000 0.5000 0.5000 1
As1 As 0.5000 0.5000 0.5000 1
# DOS(E_F): 2.851 states/eV per cell
# Formation energy (no corrections): 3.41 eV/f.u.
# Raw total energy: -19.83 eV/cell

***

[9]
# PBE MnTeAs2, optimized geometry
data_MnTeAs2
_chemical_formula_sum 'Mn2 Te2 As4'
_cell_length_a 3.6089
_cell_length_b 4.0086
_cell_length_c 12.4178
_cell_angle_alpha 90.00
_cell_angle_beta 90.00
_cell_angle_gamma 90.00
_space_group_name_H-M_alt 'I m m 2'
_space_group_IT_number 44
loop_
_space_group_symop_operation_xyz
'x,y,z'
'-x,-y,z'
'-x,y,z'
'x,-y,z'
'x+1/2,y+1/2,z+1/2'
'-x+1/2,-y+1/2,z+1/2'
'-x+1/2,y+1/2,z+1/2'
'x+1/2,-y+1/2,z+1/2'
loop_
_atom_site_label
_atom_site_type_symbol
_atom_site_fract_x
_atom_site_fract_y
_atom_site_fract_z
_atom_site_occupancy
Mn1 Mn 0.0000 0.0000 0.0000 1
Te1 Te 0.0000 0.5000 0.6689 1
As1 As 0.0000 0.0000 0.4818 1
As2 As 0.0000 0.5000 0.3440 1
# DOS(E_F): 3.571 states/eV per cell
# Formation energy (no corrections): 0.40 eV/f.u.
# Raw total energy: -42.42 eV/cell

***

[10]
# PBE MnTeAs2, optimized geometry
data_MnTeAs2
_chemical_formula_sum 'Mn1 Te1 As2'
_cell_length_a 2.9745
_cell_length_b 2.9745
_cell_length_c 9.1614
_cell_angle_alpha 90.00
_cell_angle_beta 90.00
_cell_angle_gamma 90.00
_space_group_name_H-M_alt 'P 4/m m m'
_space_group_IT_number 123
_space_group_name_Hall '-P 4 2'
loop_
_atom_site_label
_atom_site_type_symbol
_atom_site_fract_x
_atom_site_fract_y
_atom_site_fract_z
_atom_site_occupancy
Mn1 Mn 0.0000 0.0000 0.0000 1
Te1 Te 0.0000 0.0000 0.5000 1
As1 As 0.5000 0.5000 0.1547 1
# DOS(E_F): 2.794 states/eV per cell
# Formation energy (no corrections): 0.23 eV/f.u.
# Raw total energy: -21.38 eV/cell

***

[11]
# PBE Mn2TeAs, optimized geometry
data_Mn2TeAs
_chemical_formula_sum 'Mn2 Te1 As1'
_cell_length_a 3.3516
_cell_length_b 3.3516
_cell_length_c 6.9151
_cell_angle_alpha 90.00
_cell_angle_beta 90.00
_cell_angle_gamma 90.00
_space_group_name_H-M_alt 'P 4 m m'
_space_group_IT_number 99
loop_
_space_group_symop_operation_xyz
'x,y,z'
'-y,x,z'
'-x,-y,z'
'y,-x,z'
'-x,y,z'
'y,x,z'
'x,-y,z'
'-y,-x,z'
loop_
_atom_site_label
_atom_site_type_symbol
_atom_site_fract_x
_atom_site_fract_y
_atom_site_fract_z
_atom_site_occupancy
Mn1 Mn 0.0000 0.0000 0.0000 1
Mn2 Mn 0.5000 0.5000 0.2179 1
Te1 Te 0.0000 0.0000 0.4023 1
As1 As 0.5000 0.5000 0.8557 1
# DOS(E_F): 2.277 states/eV per cell
# Formation energy (no corrections): -0.20 eV/f.u.
# Raw total energy: -26.33 eV/cell

***

[12]
# PBE MnTe2As, optimized geometry
data_MnTe2As
_chemical_formula_sum 'Mn2 Te4 As2'
_cell_length_a 3.7689
_cell_length_b 5.1425
_cell_length_c 9.7123
_cell_angle_alpha 90.00
_cell_angle_beta 90.00
_cell_angle_gamma 90.00
_space_group_name_H-M_alt 'A m m 2'
_space_group_IT_number 38
loop_
_space_group_symop_operation_xyz
'x,y,z'
'-x,-y,z'
'-x,y,z'
'x,-y,z'
'x,y+1/2,z+1/2'
'-x,-y+1/2,z+1/2'
'-x,y+1/2,z+1/2'
'x,-y+1/2,z+1/2'
loop_
_atom_site_label
_atom_site_type_symbol
_atom_site_fract_x
_atom_site_fract_y
_atom_site_fract_z
_atom_site_occupancy
Mn1 Mn 0.0000 0.0000 0.0000 1
Te1 Te 0.0000 0.0000 0.5066 1
Te2 Te 0.5000 0.0000 0.1993 1
As1 As 0.5000 0.0000 0.8304 1
# DOS(E_F): 3.693 states/eV per cell
# Formation energy (no corrections): 0.01 eV/f.u.
# Raw total energy: -40.19 eV/cell